Record 1
AcSc3N: relaxed, PBE.

Geometry as POSCAR:
```
AcSc3N
1.0
-3.273 0.109 -3.417
-1.173 -4.479 0.981
-3.212 1.525 3.124
Sc Ac N
3 1 1
direct
0.000 0.500 0.000
0.000 0.000 0.500
0.500 0.000 0.000
0.500 0.500 0.500
0.000 0.000 0.000
```

calculated total energy	-33.28	eV/f.u.
size of the total moment	0.00	μB per cell
formation energy from raw total energies	-0.371	eV/atom

Record 2
AcScN: relaxed, PBE.

Geometry as POSCAR:
```
AcScN
1.0
3.724 0.000 0.000
1.862 3.225 0.000
1.862 1.075 11.813
N Sc Ac
2 2 2
direct
0.363 0.363 0.910
0.637 0.637 0.090
0.302 0.302 0.093
0.698 0.698 0.907
0.120 0.120 0.639
0.880 0.880 0.361
```

calculated total energy	-21.36	eV/f.u.
size of the total moment	0.00	μB per cell
formation energy from raw total energies	-0.865	eV/atom

Record 3
Ac3ScSi2N6: relaxed, PBE.

Geometry as POSCAR:
```
Ac3ScSi2N6
1.0
-4.793 -1.331 3.050
0.065 -0.715 -5.790
2.262 -6.303 0.804
Ac Sc Si N
3 1 2 6
direct
0.333 0.667 0.658
0.667 0.333 0.342
0.000 0.000 0.000
0.000 0.000 0.500
0.667 0.333 0.784
0.333 0.667 0.216
0.654 0.827 0.300
0.173 0.346 0.300
0.173 0.827 0.300
0.827 0.654 0.700
0.346 0.173 0.700
0.827 0.173 0.700
```

calculated total energy	-93.60	eV/f.u.
size of the total moment	1.44	μB per cell
formation energy from raw total energies	-1.179	eV/atom

Record 4
AcSc2TcN4: relaxed, PBE.

Geometry as POSCAR:
```
AcSc2TcN4
1.0
3.406 0.000 0.000
-1.703 5.793 0.000
0.000 0.000 11.322
Ac Sc Tc N
2 4 2 8
direct
0.090 0.179 0.750
0.910 0.821 0.250
0.369 0.739 0.541
0.631 0.261 0.041
0.631 0.261 0.459
0.369 0.739 0.959
0.829 0.658 0.750
0.171 0.342 0.250
0.260 0.520 0.107
0.740 0.480 0.607
0.740 0.480 0.893
0.260 0.520 0.393
0.000 0.000 0.500
0.000 0.000 0.000
0.419 0.839 0.750
0.581 0.161 0.250
```

calculated total energy	-69.10	eV/f.u.
size of the total moment	0.00	μB per cell
formation energy from raw total energies	-1.082	eV/atom

Record 5
AcZr2ScN4: relaxed, PBE.

Geometry as POSCAR:
```
AcZr2ScN4
1.0
-3.338 -5.909 -0.833
1.402 0.167 -6.690
5.038 0.365 4.456
Ac Zr Sc N
2 4 2 8
direct
0.000 0.500 0.000
0.000 0.500 0.500
0.500 0.000 0.000
0.500 0.000 0.500
0.000 0.000 0.500
0.500 0.500 0.000
0.500 0.500 0.500
0.000 0.000 0.000
0.285 0.779 0.032
0.721 0.215 0.468
0.279 0.785 0.532
0.715 0.221 0.968
0.735 0.765 0.002
0.735 0.765 0.498
0.265 0.235 0.502
0.265 0.235 0.998
```

calculated total energy	-72.16	eV/f.u.
size of the total moment	0.00	μB per cell
formation energy from raw total energies	-1.415	eV/atom

Record 6
AcSeN: relaxed, PBE.

Geometry as POSCAR:
```
AcSeN
1.0
-1.582 -2.810 3.095
3.774 -1.305 4.695
-3.193 4.647 2.970
Ac Se N
2 2 2
direct
0.838 0.630 0.378
0.003 0.126 0.933
0.079 0.050 0.432
0.762 0.705 0.879
0.354 0.331 0.095
0.486 0.425 0.215
```

calculated total energy	-19.99	eV/f.u.
size of the total moment	0.00	μB per cell
formation energy from raw total energies	-1.358	eV/atom

Record 7
Ac7Se4N4: relaxed, PBE.

Geometry as POSCAR:
```
Ac7Se4N4
1.0
-3.986 -2.830 -4.999
-6.397 -7.634 4.533
-9.286 5.743 -0.737
Ac Se N
14 8 8
direct
0.500 0.631 0.369
0.500 0.369 0.631
0.131 0.369 0.369
0.869 0.631 0.631
0.755 0.000 0.000
0.245 0.000 0.000
0.714 0.572 0.000
0.286 0.428 0.000
0.286 0.000 0.428
0.714 0.000 0.572
0.000 0.291 0.709
0.000 0.709 0.291
0.291 0.709 0.709
0.709 0.291 0.291
0.868 0.264 0.000
0.132 0.736 0.000
0.132 0.000 0.736
0.868 0.000 0.264
0.500 0.829 0.171
0.500 0.171 0.829
0.329 0.171 0.171
0.671 0.829 0.829
0.113 0.773 0.500
0.387 0.227 0.500
0.387 0.500 0.227
0.113 0.500 0.773
0.887 0.500 0.227
0.613 0.500 0.773
0.613 0.773 0.500
0.887 0.227 0.500
```

calculated total energy	-95.22	eV/f.u.
size of the total moment	0.87	μB per cell
formation energy from raw total energies	-1.282	eV/atom

Record 8
Ac4Se3N: relaxed, PBE.

Geometry as POSCAR:
```
Ac4Se3N
1.0
4.146 0.000 0.633
2.025 3.618 0.633
-0.205 -0.120 15.237
Ac Se N
4 3 1
direct
0.635 0.635 0.096
0.877 0.877 0.368
0.365 0.365 0.904
0.123 0.123 0.632
0.745 0.745 0.766
0.500 0.500 0.500
0.255 0.255 0.234
0.000 0.000 0.000
```

calculated total energy	-48.38	eV/f.u.
size of the total moment	0.00	μB per cell
formation energy from raw total energies	-1.646	eV/atom